Entry 1:
Material: CaNbCrGe2
Method: DFT, GGA-PBE
State: optimized geometry

As for the total DFT energy (no corrections): -22.48 eV for the cell shown.

The structure belongs to space group P4/mmm (No. 123); the cell edges are 5.0768, 5.0768 and 4.7780 Å and the angles 90.00°, 90.00° and 90.00°. The inequivalent atoms are Ca at (0.0000, 0.0000, 0.0000), Nb at (0.5000, 0.5000, 0.5000), Cr at (0.0000, 0.0000, 0.5000) and Ge at (0.0000, 0.5000, 0.0000).

=====

Entry 2:
Material: PmTmMgAg
Method: DFT, GGA-PBE
State: optimized geometry

Its energy above the most stable polymorph in this dataset is 0.000 eV per atom.

The structure belongs to space group P4mm (No. 99); the cell edges are 3.7406, 3.7406 and 7.3814 Å and the angles 90.00°, 90.00° and 90.00°. The inequivalent atoms are Pm at (0.0000, 0.0000, 0.0000), Tm at (0.0000, 0.0000, 0.4821), Mg at (0.5000, 0.5000, 0.7311) and Ag at (0.5000, 0.5000, 0.2644).

=====

Entry 3:
Material: Pr4Nd3In4
Method: DFT, GGA-PBE
State: optimized geometry

As for the total DFT energy (no corrections): -95.73 eV for the cell shown.

The structure belongs to space group Immm (No. 71); the cell edges are 3.7635, 9.6232 and 19.7094 Å and the angles 90.00°, 90.00° and 90.00°. The inequivalent atoms are Pr at (0.0000, 0.1781, 0.1639), Nd at (0.0000, 0.0000, 0.4051), Nd at (0.0000, 0.5000, 0.5000), In at (0.0000, 0.2802, 0.0000) and In at (0.0000, 0.5000, 0.2270).

=====

Entry 4:
Material: K2CuReO6
Method: DFT, GGA-PBE
State: optimized geometry

The uncorrected formation energy is -1.268 eV/atom.

The structure belongs to space group P-3m1 (No. 164); the cell edges are 5.9928, 5.9928 and 5.0858 Å and the angles 90.00°, 90.00° and 120.00°. The inequivalent atoms are K at (0.3333, 0.6667, 0.3013), Cu at (0.0000, 0.0000, 0.5000), Re at (0.0000, 0.0000, 0.0000) and O at (0.1455, 0.2910, 0.7698).

=====

Entry 5:
Material: Sr4As5
Method: DFT, GGA-PBE
State: optimized geometry

As for the total DFT energy (no corrections): -71.04 eV for the cell shown.

The structure belongs to space group P6_3/mcm (No. 193); the cell edges are 9.3793, 9.3793 and 6.4945 Å and the angles 90.00°, 90.00° and 120.00°. The inequivalent atoms are Sr at (0.0000, 0.0000, 0.0000), Sr at (0.0000, 0.3853, 0.2500), As at (0.0000, 0.2928, 0.7500) and As at (0.3333, 0.6667, 0.0000).

=====

Entry 6:
Material: Ca3MgMn
Method: DFT, GGA-PBE
State: optimized geometry

Its energy above the most stable polymorph in this dataset is 0.000 eV per atom.

The structure belongs to space group Pm-3m (No. 221); the cell edges are 5.5535, 5.5535 and 5.5535 Å and the angles 90.00°, 90.00° and 90.00°. The inequivalent atoms are Ca at (0.0000, 0.0000, 0.5000), Mg at (0.5000, 0.5000, 0.5000) and Mn at (0.0000, 0.0000, 0.0000).

=====

Entry 7:
Material: IrPbW2
Method: DFT, GGA-PBE
State: optimized geometry

As for the total DFT energy (no corrections): -107.95 eV for the cell shown.

The structure belongs to space group R-3m (No. 166, hexagonal axes); the cell edges are 2.9206, 2.9206 and 29.1103 Å and the angles 90.00°, 90.00° and 120.00°. The inequivalent atoms are Ir at (0.0000, 0.0000, 0.0000), Pb at (0.0000, 0.0000, 0.5000) and W at (0.0000, 0.0000, 0.2586).

=====

Entry 8:
Material: Rb2Pu2PaSe6
Method: DFT, GGA-PBE
State: optimized geometry

The uncorrected formation energy is -1.464 eV/atom.

The structure belongs to space group C2/m (No. 12); the cell edges are 7.3661, 12.6990 and 8.5224 Å and the angles 90.00°, 107.04° and 90.00°. The inequivalent atoms are Rb at (0.0000, 0.1693, 0.0000), Pu at (0.0000, 0.3337, 0.5000), Pa at (0.0000, 0.0000, 0.5000), Se at (0.2261, 0.1615, 0.6912) and Se at (0.2434, 0.5000, 0.6910).

=====

Entry 9:
Material: AlHgPt3
Method: DFT, GGA-PBE
State: optimized geometry

Its energy above the most stable polymorph in this dataset is 0.000 eV per atom.

The structure belongs to space group Pm-3m (No. 221); the cell edges are 4.6007, 4.6007 and 4.6007 Å and the angles 90.00°, 90.00° and 90.00°. The inequivalent atoms are Al at (0.0000, 0.0000, 0.0000), Hg at (0.5000, 0.5000, 0.5000) and Pt at (0.0000, 0.0000, 0.5000).

=====

Entry 10:
Material: BeAgBr4
Method: DFT, GGA-PBE
State: optimized geometry

Its energy above the most stable polymorph in this dataset is 1.438 eV per atom. The uncorrected formation energy is 0.980 eV/atom.

The structure belongs to space group F-43m (No. 216); the cell edges are 8.9260, 8.9260 and 8.9260 Å and the angles 90.00°, 90.00° and 90.00°. The inequivalent atoms are Be at (0.0000, 0.0000, 0.0000), Ag at (0.2500, 0.2500, 0.2500) and Br at (0.1253, 0.1253, 0.6253).

=====

Entry 11:
Material: AcBi2PbO6
Method: DFT, GGA-PBE
State: optimized geometry

The uncorrected formation energy is -1.639 eV/atom.

The structure belongs to space group R3 (No. 146, hexagonal axes); the cell edges are 6.2171, 6.2171 and 15.7205 Å and the angles 90.00°, 90.00° and 120.00°. The inequivalent atoms are Ac at (0.0000, 0.0000, 0.0000), Bi at (0.0000, 0.0000, 0.2747), Bi at (0.0000, 0.0000, 0.7763), Pb at (0.0000, 0.0000, 0.4958), O at (0.0257, 0.4216, 0.5414) and O at (0.0263, 0.6229, 0.0407).

=====

Entry 12:
Material: Al3BiS
Method: DFT, GGA-PBE
State: optimized geometry

Its energy above the most stable polymorph in this dataset is 0.774 eV per atom. The uncorrected formation energy is 1.035 eV/atom.

The structure belongs to space group Pm-3m (No. 221); the cell edges are 5.5426, 5.5426 and 5.5426 Å and the angles 90.00°, 90.00° and 90.00°. The inequivalent atoms are Al at (0.0000, 0.0000, 0.5000), Bi at (0.0000, 0.0000, 0.0000) and S at (0.5000, 0.5000, 0.5000).

=====

The calculation returns the following volume values, one per record and in order: 24.63, 25.82, 32.45, 15.82, 27.49, 34.25, 17.92, 34.65, 19.48, 29.63, 17.54, 34.05 A^3/atom.